Entry 1:
The following is a DFT calculation (PBE) of crystalline ThCrC2 at its relaxed geometry.

The energy relative to the elements is 20 kJ/mol of atoms. The density of states at the Fermi level comes out at 0.606 states/eV/atom. The total energy comes out at -103.9 eV for the cell shown. Its crystal system is trigonal.

The structure belongs to space group R-3m (No. 166, hexagonal axes); the cell edges are 3.3185, 3.3185 and 16.3770 Å and the angles 90.00°, 90.00° and 120.00°. The distinct sites, in fractional coordinates, are Th at (0.0000, 0.0000, 0.0000), Cr at (0.0000, 0.0000, 0.5000) and C at (0.0000, 0.0000, 0.2286).

Entry 2:
The following is a DFT calculation (PBE) of crystalline YTa2Au at its relaxed geometry.

The energy relative to the elements is 33 kJ/mol of atoms. The density of states at the Fermi level comes out at 0.829 states/eV/atom. The total energy comes out at -96.3 eV for the cell shown. Its crystal system is trigonal. The calculation puts the energy above the most stable polymorph in this dataset at 0.3815 eV per atom.

The structure belongs to space group R-3m (No. 166, hexagonal axes); the cell edges are 3.0707, 3.0707 and 30.1763 Å and the angles 90.00°, 90.00° and 120.00°. The distinct sites, in fractional coordinates, are Y at (0.0000, 0.0000, 0.0000), Ta at (0.0000, 0.0000, 0.2436) and Au at (0.0000, 0.0000, 0.5000).

Entry 3:
The following is a DFT calculation (PBE) of crystalline LiSmHoZn at its relaxed geometry.

The energy relative to the elements is -11 kJ/mol of atoms. The density of states at the Fermi level comes out at 1.126 states/eV/atom. The total energy comes out at -13.0 eV for the cell shown. Its crystal system is tetragonal. The calculation puts the energy above the most stable polymorph in this dataset at 0.0000 eV per atom.

The structure belongs to space group P4mm (No. 99); the cell edges are 3.650, 3.650 and 7.382 Å and the angles 90.00°, 90.00° and 90.00°. The distinct sites, in fractional coordinates, are Li at (0.000, 0.000, 0.000), Sm at (0.500, 0.500, 0.725), Ho at (0.500, 0.500, 0.259) and Zn at (0.000, 0.000, 0.482).

Entry 4:
The following is a DFT calculation (PBE) of crystalline Mg2ZnIr at its relaxed geometry.

The energy relative to the elements is -19 kJ/mol of atoms. The density of states at the Fermi level comes out at 0.255 states/eV/atom. The total energy comes out at -14.1 eV for the cell shown. Its crystal system is tetragonal.

The structure belongs to space group P4mm (No. 99); the cell edges are 3.176, 3.176 and 6.803 Å and the angles 90.00°, 90.00° and 90.00°. The distinct sites, in fractional coordinates, are Mg at (0.000, 0.000, 0.000), Mg at (0.500, 0.500, 0.330), Zn at (0.000, 0.000, 0.580) and Ir at (0.500, 0.500, 0.774).

> energy relative to the elements of number 2 (YTa2Au)?

33 kJ/mol of atoms